Run i
A plane-wave DFT calculation with PBE-GGA was carried out for an optimized crystal structure of HfTi2Nb2.

Cell lengths 5.4714, 4.8324, 7.2228 Å; angles 90.00, 102.60, 90.00 degrees
With the nearest neighbours (Å) after each atom.
Positions (direct):
Hf (0.2276, 0.2500, 0.2469)  5 Nb 2.87-3.18, 5 Ti 2.91-3.17
Hf (0.7724, 0.7500, 0.7531)  5 Nb 2.87-3.18, 5 Ti 2.91-3.17
Ti (0.0846, 0.2500, 0.8224)  3 Nb 2.72-2.88, 1 Ti 2.88, 3 Hf 2.94-2.99
Ti (0.1922, 0.7500, 0.5651)  4 Nb 2.63-2.90, 1 Ti 2.88, 1 Hf 2.91
Ti (0.8078, 0.2500, 0.4349)  4 Nb 2.63-2.90, 1 Ti 2.88, 1 Hf 2.91
Ti (0.9154, 0.7500, 0.1776)  3 Nb 2.72-2.88, 1 Ti 2.88, 3 Hf 2.94-2.99
Nb (0.3496, 0.7500, 0.9569)  3 Nb 2.72-2.91, 3 Ti 2.77-2.88, 1 Hf 3.00
Nb (0.4877, 0.2500, 0.6595)  4 Ti 2.63-2.90, 1 Nb 2.72, 2 Hf 2.87
Nb (0.5123, 0.7500, 0.3405)  4 Ti 2.63-2.90, 1 Nb 2.72, 2 Hf 2.87
Nb (0.6504, 0.2500, 0.0431)  3 Nb 2.72-2.91, 3 Ti 2.77-2.88, 1 Hf 3.00

The space group is P2_1/m. As for the theoretical density: 8.20 g cm⁻³.



Run ii
A plane-wave DFT calculation with PBE-GGA was carried out for an optimized crystal structure of HfTi2Nb2.

Cell lengths 7.3964, 7.3964, 3.4581 Å; angles 90.00, 90.00, 90.00 degrees
With the nearest neighbours (Å) after each atom.
Positions (direct):
Hf (0.0000, 0.0000, 0.0000)  4 Ti 2.91, 8 Nb 3.25
Hf (0.5000, 0.5000, 0.0000)  4 Ti 2.91, 8 Nb 3.25
Ti (0.1272, 0.3728, 0.0000)  1 Ti 2.66, 6 Nb 2.74-2.81, 2 Hf 2.91
Ti (0.3728, 0.8728, 0.0000)  1 Ti 2.66, 6 Nb 2.74-2.81, 2 Hf 2.91
Ti (0.6272, 0.1272, 0.0000)  1 Ti 2.66, 6 Nb 2.74-2.81, 2 Hf 2.91
Ti (0.8728, 0.6272, 0.0000)  1 Ti 2.66, 6 Nb 2.74-2.81, 2 Hf 2.91
Nb (0.1699, 0.6699, 0.5000)  6 Ti 2.74-2.81
Nb (0.3301, 0.1699, 0.5000)  6 Ti 2.74-2.81
Nb (0.6699, 0.8301, 0.5000)  6 Ti 2.74-2.81
Nb (0.8301, 0.3301, 0.5000)  6 Ti 2.74-2.81

The space group is P4/mbm. As for the theoretical density: 8.08 g cm⁻³.



Run iii
A plane-wave DFT calculation with PBE-GGA was carried out for an optimized crystal structure of HfTi2Nb2.

Cell lengths 7.5403, 7.5403, 3.3492 Å; angles 90.00, 90.00, 90.00 degrees
With the nearest neighbours (Å) after each atom.
Positions (direct):
Hf (0.0000, 0.0000, 0.0000)  4 Nb 2.86
Hf (0.5000, 0.5000, 0.0000)  4 Nb 2.86
Ti (0.1425, 0.3575, 0.5000)  6 Nb 2.75-2.79, 1 Ti 3.04
Ti (0.3575, 0.8575, 0.5000)  6 Nb 2.75-2.79, 1 Ti 3.04
Ti (0.6425, 0.1425, 0.5000)  6 Nb 2.75-2.79, 1 Ti 3.04
Ti (0.8575, 0.6425, 0.5000)  6 Nb 2.75-2.79, 1 Ti 3.04
Nb (0.1528, 0.6528, 0.0000)  6 Ti 2.75-2.79, 2 Hf 2.86
Nb (0.3472, 0.1528, 0.0000)  6 Ti 2.75-2.79, 2 Hf 2.86
Nb (0.6528, 0.8472, 0.0000)  6 Ti 2.75-2.79, 2 Hf 2.86
Nb (0.8472, 0.3472, 0.0000)  6 Ti 2.75-2.79, 2 Hf 2.86

The space group is P4/mbm. As for the theoretical density: 8.02 g cm⁻³.



Of them, run i has the highest stability.



Run i
A plane-wave DFT calculation with PBE-GGA was carried out for an optimized crystal structure of HfTiNb2.

Cell lengths 4.7282, 4.7282, 4.7282 Å; angles 60.00, 60.00, 60.00 degrees
With the nearest neighbours (Å) after each atom.
Positions (direct):
Hf (0.0000, 0.0000, 0.0000)  8 Nb 2.90
Ti (0.5000, 0.5000, 0.5000)  8 Nb 2.90
Nb (0.2500, 0.2500, 0.2500)  4 Hf 2.90, 4 Ti 2.90
Nb (0.7500, 0.7500, 0.7500)  4 Hf 2.90, 4 Ti 2.90

The space group is Fm-3m. As for the theoretical density: 9.16 g cm⁻³.



Run ii
A plane-wave DFT calculation with PBE-GGA was carried out for an optimized crystal structure of HfTiNb2.

Cell lengths 5.9540, 5.9540, 5.9540 Å; angles 103.20, 103.20, 122.90 degrees
With the nearest neighbours (Å) after each atom.
Positions (direct):
Hf (0.0000, 0.0000, 0.0000)  4 Nb 2.78, 2 Ti 2.85
Hf (0.7500, 0.2500, 0.5000)  4 Nb 2.78, 2 Ti 2.85
Ti (0.2500, 0.7500, 0.5000)  4 Nb 2.64, 2 Hf 2.85
Ti (0.5000, 0.5000, 0.0000)  4 Nb 2.64, 2 Hf 2.85
Nb (0.1392, 0.6250, 0.0142)  2 Ti 2.64, 2 Hf 2.78, 2 Nb 2.85
Nb (0.3750, 0.3892, 0.5142)  2 Ti 2.64, 2 Hf 2.78, 2 Nb 2.85
Nb (0.6108, 0.1250, 0.9858)  2 Ti 2.64, 2 Hf 2.78, 2 Nb 2.85
Nb (0.8750, 0.8608, 0.4858)  2 Ti 2.64, 2 Hf 2.78, 2 Nb 2.85

The space group is I-42d. As for the theoretical density: 8.79 g cm⁻³.



Run iii
A plane-wave DFT calculation with PBE-GGA was carried out for an optimized crystal structure of HfTiNb2.

Cell lengths 4.6988, 4.6988, 6.9161 Å; angles 90.00, 90.00, 94.86 degrees
With the nearest neighbours (Å) after each atom.
Positions (direct):
Hf (0.2248, 0.7752, 0.7500)  8 Nb 2.92-2.94, 3 Ti 3.17-3.19
Hf (0.7752, 0.2248, 0.2500)  8 Nb 2.92-2.94, 3 Ti 3.17-3.19
Ti (0.2339, 0.7661, 0.2500)  8 Nb 2.88-2.98, 3 Hf 3.17-3.19
Ti (0.7661, 0.2339, 0.7500)  8 Nb 2.88-2.98, 3 Hf 3.17-3.19
Nb (0.2840, 0.2840, 0.0000)  1 Nb 2.75, 4 Ti 2.88-2.98, 4 Hf 2.92-2.94
Nb (0.2840, 0.2840, 0.5000)  1 Nb 2.75, 4 Ti 2.88-2.98, 4 Hf 2.92-2.94
Nb (0.7160, 0.7160, 0.0000)  1 Nb 2.75, 4 Ti 2.88-2.98, 4 Hf 2.92-2.94
Nb (0.7160, 0.7160, 0.5000)  1 Nb 2.75, 4 Ti 2.88-2.98, 4 Hf 2.92-2.94

The space group is Cmcm. As for the theoretical density: 9.00 g cm⁻³.



Run iv
A plane-wave DFT calculation with PBE-GGA was carried out for an optimized crystal structure of HfTiNb2.

Cell lengths 6.6621, 6.6621, 5.4501 Å; angles 90.00, 90.00, 135.53 degrees
With the nearest neighbours (Å) after each atom.
Positions (direct):
Hf (0.0859, 0.9141, 0.7500)  2 Ti 2.78, 2 Nb 3.05
Hf (0.9141, 0.0859, 0.2500)  2 Ti 2.78, 2 Nb 3.05
Ti (0.4913, 0.5087, 0.7500)  4 Nb 2.71-2.83, 2 Ti 2.73, 2 Hf 2.78
Ti (0.5087, 0.4913, 0.2500)  4 Nb 2.71-2.83, 2 Ti 2.73, 2 Hf 2.78
Nb (0.3047, 0.6953, 0.0109)  4 Nb 2.61-2.86, 2 Ti 2.71-2.83
Nb (0.3047, 0.6953, 0.4891)  4 Nb 2.61-2.86, 2 Ti 2.71-2.83
Nb (0.6953, 0.3047, 0.5109)  4 Nb 2.61-2.86, 2 Ti 2.71-2.83
Nb (0.6953, 0.3047, 0.9891)  4 Nb 2.61-2.86, 2 Ti 2.71-2.83

The space group is Cmcm. As for the theoretical density: 8.08 g cm⁻³.



Of them, run iii has the highest stability.



Run i
A plane-wave DFT calculation with PBE-GGA was carried out for an optimized crystal structure of Hf2TiNb.

Cell lengths 10.0655, 10.0655, 10.0655 Å; angles 17.53, 17.53, 17.53 degrees
With the nearest neighbours (Å) after each atom.
Positions (direct):
Hf (0.2489, 0.2489, 0.2489)  3 Ti 3.02, 6 Hf 3.07, 3 Nb 3.07
Hf (0.7511, 0.7511, 0.7511)  3 Ti 3.02, 6 Hf 3.07, 3 Nb 3.07
Ti (0.5000, 0.5000, 0.5000)  6 Hf 3.02, 6 Ti 3.07
Nb (0.0000, 0.0000, 0.0000)  6 Nb 3.07, 6 Hf 3.07

The space group is R-3m. As for the theoretical density: 10.23 g cm⁻³.



Run ii
A plane-wave DFT calculation with PBE-GGA was carried out for an optimized crystal structure of Hf2TiNb.

Cell lengths 3.4418, 3.4418, 6.6941 Å; angles 90.00, 90.00, 90.00 degrees
With the nearest neighbours (Å) after each atom.
Positions (direct):
Hf (0.0000, 0.0000, 0.2458)  4 Nb 2.94, 4 Ti 2.97
Hf (0.0000, 0.0000, 0.7542)  4 Nb 2.94, 4 Ti 2.97
Ti (0.5000, 0.5000, 0.5000)  8 Hf 2.97
Nb (0.5000, 0.5000, 0.0000)  8 Hf 2.94

The space group is P4/mmm. As for the theoretical density: 10.42 g cm⁻³.



Of them, run ii has the highest stability.



Run i
A plane-wave DFT calculation with PBE-GGA was carried out for an optimized crystal structure of Hf2TiNb.

Cell lengths 3.0088, 4.7446, 5.7968 Å; angles 90.00, 104.85, 90.00 degrees
With the nearest neighbours (Å) after each atom.
Positions (direct):
Hf (0.0953, 0.0000, 0.2581)  2 Nb 2.86, 4 Hf 2.90-3.01, 4 Ti 3.11-3.21
Hf (0.9047, 0.0000, 0.7419)  2 Nb 2.86, 4 Hf 2.90-3.01, 4 Ti 3.11-3.21
Ti (0.5000, 0.5000, 0.0000)  2 Nb 2.90, 2 Ti 3.01, 8 Hf 3.11-3.21
Nb (0.5000, 0.5000, 0.5000)  4 Hf 2.86, 2 Ti 2.90, 2 Nb 3.01

The space group is P2/m. As for the theoretical density: 10.33 g cm⁻³.



Run ii
A plane-wave DFT calculation with PBE-GGA was carried out for an optimized crystal structure of Hf2TiNb.

Cell lengths 4.8240, 4.8240, 4.8240 Å; angles 60.00, 60.00, 60.00 degrees
With the nearest neighbours (Å) after each atom.
Positions (direct):
Hf (0.2500, 0.2500, 0.2500)  4 Nb 2.95, 4 Ti 2.95
Hf (0.7500, 0.7500, 0.7500)  4 Ti 2.95, 4 Nb 2.95
Ti (0.0000, 0.0000, 0.0000)  8 Hf 2.95
Nb (0.5000, 0.5000, 0.5000)  8 Hf 2.95

The space group is Fm-3m. As for the theoretical density: 10.41 g cm⁻³.



Run iii
A plane-wave DFT calculation with PBE-GGA was carried out for an optimized crystal structure of Hf2TiNb.

Cell lengths 6.0516, 6.0516, 6.0516 Å; angles 103.29, 103.29, 122.71 degrees
With the nearest neighbours (Å) after each atom.
Positions (direct):
Hf (0.1221, 0.6250, 0.9971)  2 Ti 2.74, 2 Nb 2.77, 2 Hf 2.90
Hf (0.3750, 0.3721, 0.4971)  2 Ti 2.74, 2 Nb 2.77, 2 Hf 2.90
Hf (0.6279, 0.1250, 0.0029)  2 Ti 2.74, 2 Nb 2.77, 2 Hf 2.90
Hf (0.8750, 0.8779, 0.5029)  2 Ti 2.74, 2 Nb 2.77, 2 Hf 2.90
Ti (0.0000, 0.0000, 0.0000)  4 Hf 2.74, 2 Nb 2.90
Ti (0.7500, 0.2500, 0.5000)  4 Hf 2.74, 2 Nb 2.90
Nb (0.2500, 0.7500, 0.5000)  4 Hf 2.77, 2 Ti 2.90
Nb (0.5000, 0.5000, 0.0000)  4 Hf 2.77, 2 Ti 2.90

The space group is I-42d. As for the theoretical density: 10.10 g cm⁻³.



Run iv
A plane-wave DFT calculation with PBE-GGA was carried out for an optimized crystal structure of Hf2TiNb.

Cell lengths 10.0106, 10.0106, 10.0106 Å; angles 17.70, 17.70, 17.70 degrees
With the nearest neighbours (Å) after each atom.
Positions (direct):
Hf (0.0000, 0.0000, 0.0000)  3 Ti 2.99, 3 Nb 3.08, 6 Hf 3.08
Hf (0.1636, 0.1636, 0.1636)  3 Ti 3.01, 3 Nb 3.07, 6 Hf 3.08
Ti (0.4148, 0.4148, 0.4148)  6 Hf 2.99-3.01, 6 Ti 3.08
Nb (0.5817, 0.5817, 0.5817)  6 Hf 3.07-3.08, 6 Nb 3.08

The space group is R3m. As for the theoretical density: 10.21 g cm⁻³.



Of them, run ii has the highest stability.